! PrNd2In3Ag2Pt, optimized geometry, DFT PBE; values from VASP
! E_tot (eV per atom): -4.383
! Magnetic moment (μB/cell): 0.0
&SYSTEM
  ibrav = 0, nat = 9, ntyp = 5
/
ATOMIC_SPECIES
In 114.82 In.upf
Nd 144.24 Nd.upf
Ag 107.87 Ag.upf
Pr 140.91 Pr.upf
Pt 195.08 Pt.upf
ATOMIC_POSITIONS crystal
In 0.500 0.250 0.250
In 0.500 0.000 0.750
In 0.500 0.750 0.000
Nd 0.000 0.000 0.401
Nd 0.000 0.401 0.000
Ag 0.500 0.332 0.667
Ag 0.500 0.667 0.332
Pr 0.000 0.598 0.598
Pt 0.000 0.001 0.001
CELL_PARAMETERS angstrom
4.133 0.000 0.000
0.000 6.809 3.934
0.000 -6.809 3.934

! PrNd2In3AgPt2, optimized geometry, DFT PBE; values from VASP
! E_tot (eV per atom): -4.953
! Magnetic moment (μB/cell): 0.0
&SYSTEM
  ibrav = 0, nat = 9, ntyp = 5
/
ATOMIC_SPECIES
Pt 195.08 Pt.upf
In 114.82 In.upf
Nd 144.24 Nd.upf
Pr 140.91 Pr.upf
Ag 107.87 Ag.upf
ATOMIC_POSITIONS crystal
Pt 0.500 0.333 0.668
Pt 0.500 0.668 0.333
In 0.500 0.260 0.999
In 0.500 0.999 0.260
In 0.500 0.740 0.740
Nd 0.000 0.000 0.586
Nd 0.000 0.586 0.000
Pr 0.000 0.414 0.414
Ag 0.000 0.999 0.999
CELL_PARAMETERS angstrom
-2.607 -3.023 -0.490
4.423 -4.568 4.648
-5.720 4.429 3.116

! Nd3In3AgPt2, optimized geometry, DFT PBE; values from VASP
! E_tot (eV per atom): -4.955
! Magnetic moment (μB/cell): 0.0
&SYSTEM
  ibrav = 0, nat = 9, ntyp = 4
/
ATOMIC_SPECIES
Nd 144.24 Nd.upf
In 114.82 In.upf
Ag 107.87 Ag.upf
Pt 195.08 Pt.upf
ATOMIC_POSITIONS crystal
Nd 0.000 0.585 0.000
Nd 0.000 0.000 0.585
Nd 0.000 0.416 0.416
In 0.500 0.260 0.999
In 0.500 0.999 0.260
In 0.500 0.742 0.742
Ag 0.000 0.001 0.001
Pt 0.500 0.333 0.666
Pt 0.500 0.666 0.333
CELL_PARAMETERS angstrom
4.040 0.000 0.000
0.000 6.802 3.924
0.000 -6.802 3.924